Record 1
Below is a geometry-optimized Np2TiPdS5 structure, with properties calculated at the GGA-PBE level.

Calculated values
E_tot in eV/f.u.: -70.00
ΔE_f (raw) in eV per atom: -1.155
Calculated volume in Å³ per atom: 18.8

Cell lengths 3.6953, 8.2998, 11.3289 Å; angles 90.00, 90.00, 102.86 degrees
Sites, in units of the cell vectors:
Np: 0.8736 0.7471 0.8126
Np: 0.1123 0.2247 0.6977
Np: 0.1264 0.2529 0.3126
Np: 0.8877 0.7753 0.1977
Ti: 0.8086 0.6173 0.5135
Ti: 0.1914 0.3827 0.0135
Pd: 0.5668 0.1337 0.9411
Pd: 0.4332 0.8663 0.4411
S: 0.3497 0.6995 0.0071
S: 0.6997 0.3995 0.8554
S: 0.4933 0.9867 0.7649
S: 0.2885 0.5770 0.6629
S: 0.9525 0.9049 0.5688
S: 0.6503 0.3005 0.5071
S: 0.3003 0.6005 0.3554
S: 0.5067 0.0133 0.2649
S: 0.7115 0.4230 0.1629
S: 0.0475 0.0951 0.0688

---

Record 2
Below is a geometry-optimized LaNdTl4 structure, with properties calculated at the GGA-PBE level.

Calculated values
E above lowest polymorph in meV/atom: 0.0
E_tot in eV/f.u.: -20.32
Calculated volume in Å³ per atom: 29.4

Cell lengths 6.2980, 6.2980, 6.2980 Å; angles 60.00, 60.00, 60.00 degrees
Sites, in units of the cell vectors:
Tl: 0.6250 0.6250 0.1251
Tl: 0.6250 0.1251 0.6250
Tl: 0.6250 0.6250 0.6250
Tl: 0.1251 0.6250 0.6250
Nd: 0.2500 0.2500 0.2500
La: 0.0000 0.0000 0.0000

---

Record 3
Below is a geometry-optimized FeAsSe2 structure, with properties calculated at the GGA-PBE level.

Calculated values
E_tot in eV/f.u.: -19.60
ΔE_f (raw) in eV per atom: 0.120
Calculated volume in Å³ per atom: 24.7

Cell lengths 7.5598, 7.5598, 7.5598 Å; angles 158.56, 141.13, 44.82 degrees
Sites, in units of the cell vectors:
As: 0.6243 0.6243 0.0000
Fe: 0.7714 0.2714 0.5000
Se: 0.9058 0.9058 0.0000
Se: 0.1985 0.6985 0.5000

---

Record 4
Below is a geometry-optimized ScPSCl2 structure, with properties calculated at the GGA-PBE level.

Calculated values
E above lowest polymorph in meV/atom: 695.9
E_tot in eV/f.u.: -18.86
ΔE_f (raw) in eV per atom: 0.141
Calculated volume in Å³ per atom: 21.2

Cell lengths 4.6583, 4.6583, 4.8837 Å; angles 90.00, 90.00, 90.00 degrees
Sites, in units of the cell vectors:
Sc: 0.5000 0.5000 0.5000
P: 0.0000 0.0000 0.5000
S: 0.0000 0.0000 0.0000
Cl: 0.0000 0.5000 0.0000
Cl: 0.5000 0.0000 0.0000

---

| no. | density of states at the Fermi level (states/eV/cell) |
| --- | --- |
| 1 | 39.5 |
| 2 | 6.1 |
| 3 | 2.5 |
| 4 | 4.6 |